No. 1
Material: KZr3F
Method: DFT, PBE
State: relaxed

Unit cell a=4.809 b=4.809 c=4.809 alpha=90.00 beta=90.00 gamma=90.00
Fractional positions:
1 K 0.000 0.000 0.000
2 Zr 0.000 0.500 0.500
3 Zr 0.500 0.000 0.500
4 Zr 0.500 0.500 0.000
5 F 0.500 0.500 0.500

Volume (A^3/atom): 22.2
M_tot (μB/f.u.): 0.00
Energy relative to the lowest polymorph listed for this composition (kJ per mole of atoms): 0.00
Energy relative to the elements, uncorrected (eV/atom): 0.1107

No. 2
Material: K2ZrF
Method: DFT, PBE
State: relaxed

Unit cell a=7.395 b=7.395 c=7.395 alpha=116.55 beta=116.55 gamma=96.09
Fractional positions:
1 K 0.375 0.020 0.145
2 K 0.770 0.625 0.645
3 K 0.875 0.230 0.855
4 K 0.980 0.125 0.355
5 Zr 0.250 0.750 0.500
6 Zr 0.500 0.500 0.000
7 F 0.000 0.000 0.000
8 F 0.750 0.250 0.500

Volume (A^3/atom): 37.4
M_tot (μB/f.u.): 3.13
Energy relative to the lowest polymorph listed for this composition (kJ per mole of atoms): 0.00
Energy relative to the elements, uncorrected (eV/atom): -0.2771

No. 3
Material: K2ZrF
Method: DFT, PBE
State: relaxed

Unit cell a=6.092 b=6.092 c=6.092 alpha=60.00 beta=60.00 gamma=60.00
Fractional positions:
1 K 0.250 0.250 0.250
2 K 0.750 0.750 0.750
3 Zr 0.000 0.000 0.000
4 F 0.500 0.500 0.500

Volume (A^3/atom): 40.0
M_tot (μB/f.u.): 3.00
Energy relative to the lowest polymorph listed for this composition (kJ per mole of atoms): 54.39
Energy relative to the elements, uncorrected (eV/atom): 0.2866

No. 4
Material: La2F13
Method: DFT, PBE
State: relaxed

Unit cell a=6.433 b=6.433 c=7.825 alpha=117.66 beta=117.66 gamma=75.48
Fractional positions:
1 La 0.157 0.157 0.436
2 La 0.843 0.843 0.564
3 F 0.000 0.000 0.000
4 F 0.113 0.113 0.701
5 F 0.170 0.569 0.734
6 F 0.210 0.210 0.164
7 F 0.246 0.610 0.551
8 F 0.390 0.754 0.449
9 F 0.431 0.830 0.266
10 F 0.569 0.170 0.734
11 F 0.610 0.246 0.551
12 F 0.754 0.390 0.449
13 F 0.790 0.790 0.836
14 F 0.830 0.431 0.266
15 F 0.887 0.887 0.299

Volume (A^3/atom): 16.9
M_tot (μB/f.u.): 3.04
Energy relative to the elements, uncorrected (eV/atom): -2.0088

No. 5
Material: La3F
Method: DFT, PBE
State: relaxed

Unit cell a=6.387 b=6.387 c=6.387 alpha=148.12 beta=67.84 gamma=121.87
Fractional positions:
1 La 0.000 0.000 0.000
2 La 0.358 0.530 0.828
3 La 0.702 0.530 0.172
4 F 0.331 0.831 0.500

Volume (A^3/atom): 28.8
M_tot (μB/f.u.): 0.00
Energy relative to the elements, uncorrected (eV/atom): -1.0084

No. 6
Material: LiLaF2
Method: DFT, PBE
State: relaxed

Unit cell a=6.965 b=6.965 c=6.965 alpha=29.67 beta=29.67 gamma=29.67
Fractional positions:
1 Li 0.000 0.000 0.000
2 La 0.500 0.500 0.500
3 F 0.384 0.384 0.384
4 F 0.616 0.616 0.616

Volume (A^3/atom): 18.3
M_tot (μB/f.u.): 0.00
Energy relative to the lowest polymorph listed for this composition (kJ per mole of atoms): 0.00
Energy relative to the elements, uncorrected (eV/atom): -2.5262

No. 7
Material: LiLa2F6
Method: DFT, PBE
State: relaxed

Unit cell a=5.088 b=7.380 c=7.522 alpha=90.00 beta=119.33 gamma=90.00
Fractional positions:
1 Li 0.000 0.000 0.000
2 Li 0.000 0.500 0.500
3 La 0.306 0.093 0.684
4 La 0.306 0.407 0.184
5 La 0.694 0.593 0.816
6 La 0.694 0.907 0.316
7 F 0.191 0.040 0.311
8 F 0.191 0.460 0.811
9 F 0.205 0.739 0.073
10 F 0.205 0.761 0.573
11 F 0.351 0.124 0.031
12 F 0.351 0.376 0.531
13 F 0.649 0.624 0.469
14 F 0.649 0.876 0.969
15 F 0.795 0.239 0.427
16 F 0.795 0.261 0.927
17 F 0.809 0.540 0.189
18 F 0.809 0.960 0.689

Volume (A^3/atom): 13.7
M_tot (μB/f.u.): 1.00
Energy relative to the elements, uncorrected (eV/atom): -3.6091

No. 8
Material: LiLa2F
Method: DFT, PBE
State: relaxed

Unit cell a=6.710 b=6.710 c=6.710 alpha=110.75 beta=110.75 gamma=106.95
Fractional positions:
1 Li 0.000 0.000 0.000
2 Li 0.750 0.250 0.500
3 La 0.216 0.625 0.091
4 La 0.375 0.466 0.591
5 La 0.534 0.125 0.909
6 La 0.875 0.784 0.409
7 F 0.250 0.750 0.500
8 F 0.500 0.500 0.000

Volume (A^3/atom): 29.0
M_tot (μB/f.u.): 0.00
Energy relative to the lowest polymorph listed for this composition (kJ per mole of atoms): 0.00
Energy relative to the elements, uncorrected (eV/atom): -1.0333

no.,calculated density (Mg/m³)
1,4.952
2,2.093
3,1.957
4,3.433
5,6.270
6,4.166
7,5.378
8,4.343